# PrY2Cd3

A relaxed structure of PrY2Cd3 (PBE, Alexandria).

Values from the calculation:
- Formation energy from the elements: -0.337 eV/atom
- Uncorrected energy: -3.75 eV per atom
- M_tot: 0.8 Bohr magnetons per cell

Unit cell a=3.786 b=3.786 c=11.449 alpha=90.00 beta=90.00 gamma=90.00
Element x y z (fractional)
Pr 0.500 0.500 0.500
Y 0.500 0.500 0.837
Y 0.500 0.500 0.163
Cd 0.000 0.000 0.000
Cd 0.000 0.000 0.680
Cd 0.000 0.000 0.320